# 1
Density functional theory data (PBE) for crystalline TaSn3S at its relaxed geometry.

```
data_TaSn3S
_cell_length_a 5.0695
_cell_length_b 5.0695
_cell_length_c 5.0695
_cell_angle_alpha 90.00
_cell_angle_beta 90.00
_cell_angle_gamma 90.00
_symmetry_space_group_name_H-M 'P m -3 m'
_symmetry_Int_Tables_number 221
_symmetry_space_group_name_Hall '-P 4 2 3'
loop_
_atom_site_label
_atom_site_type_symbol
_atom_site_fract_x
_atom_site_fract_y
_atom_site_fract_z
_atom_site_occupancy
Ta1 Ta 0.0000 0.0000 0.0000 1
Sn1 Sn 0.0000 0.5000 0.5000 1
S1 S 0.5000 0.5000 0.5000 1
```

Results
Its total energy is -4.63 eV/atom. The energy relative to the lowest polymorph listed for this composition is 332 meV/atom.

***

# 2
Density functional theory data (PBE) for crystalline TaSnS2 at its relaxed geometry.

```
data_TaSnS2
_cell_length_a 3.3424
_cell_length_b 3.3424
_cell_length_c 17.7064
_cell_angle_alpha 90.00
_cell_angle_beta 90.00
_cell_angle_gamma 120.00
_symmetry_space_group_name_H-M 'P 63/m m c'
_symmetry_Int_Tables_number 194
_symmetry_space_group_name_Hall '-P 6c 2c'
loop_
_atom_site_label
_atom_site_type_symbol
_atom_site_fract_x
_atom_site_fract_y
_atom_site_fract_z
_atom_site_occupancy
Ta1 Ta 0.3333 0.6667 0.2500 1
Sn1 Sn 0.0000 0.0000 0.0000 1
S1 S 0.0000 0.0000 0.1619 1
```

Results
Its total energy is -6.88 eV/atom.

***

Going through the records in order, we get calculated volume values of 26.1; 21.4 Å³/atom.
Going through the records in order, we get formation energy from raw total energies values of 966; -850 meV per atom.